Entry 1:
# GGA-PBE LiThIr, optimized geometry
# Excess energy over the best structure of this formula in the dataset ... 0.0 meV/atom
data_LiThIr
_chemical_formula_sum 'Li4 Th4 Ir4'
_cell_length_a 6.541
_cell_length_b 6.541
_cell_length_c 6.541
_cell_angle_alpha 90.00
_cell_angle_beta 90.00
_cell_angle_gamma 90.00
_symmetry_space_group_name_H-M 'F -4 3 m'
_symmetry_Int_Tables_number 216
_symmetry_space_group_name_Hall 'F -4 2 3'
loop_
_atom_site_label
_atom_site_fract_x
_atom_site_fract_y
_atom_site_fract_z
_atom_site_occupancy
Li1 0.000 0.000 0.000 1
Th1 0.000 0.000 0.500 1
Ir1 0.250 0.250 0.750 1

---

Entry 2:
# GGA-PBE Li4TlZnIr2, optimized geometry
# Calculated total energy ... -3.7740 eV/atom
data_Li4TlZnIr2
_chemical_formula_sum 'Li4 Tl1 Zn1 Ir2'
_cell_length_a 4.343
_cell_length_b 4.343
_cell_length_c 6.227
_cell_angle_alpha 90.00
_cell_angle_beta 90.00
_cell_angle_gamma 90.00
_symmetry_space_group_name_H-M 'P -4 m 2'
_symmetry_Int_Tables_number 115
loop_
_symmetry_equiv_pos_as_xyz
'x,y,z'
'y,-x,-z'
'-x,-y,z'
'-y,x,-z'
'-x,y,z'
'-y,-x,-z'
'x,-y,z'
'y,x,-z'
loop_
_atom_site_label
_atom_site_fract_x
_atom_site_fract_y
_atom_site_fract_z
_atom_site_occupancy
Li1 0.000 0.000 0.000 1
Li2 0.000 0.500 0.729 1
Li3 0.500 0.500 0.500 1
Tl1 0.500 0.500 0.000 1
Zn1 0.000 0.000 0.500 1
Ir1 0.000 0.500 0.273 1

---

Entry 3:
# GGA-PBE LiTmIr, optimized geometry
# Excess energy over the best structure of this formula in the dataset ... 0.0 meV/atom
data_LiTmIr
_chemical_formula_sum 'Li4 Tm4 Ir4'
_cell_length_a 5.986
_cell_length_b 5.986
_cell_length_c 5.986
_cell_angle_alpha 90.00
_cell_angle_beta 90.00
_cell_angle_gamma 90.00
_symmetry_space_group_name_H-M 'F -4 3 m'
_symmetry_Int_Tables_number 216
_symmetry_space_group_name_Hall 'F -4 2 3'
loop_
_atom_site_label
_atom_site_fract_x
_atom_site_fract_y
_atom_site_fract_z
_atom_site_occupancy
Li1 0.000 0.000 0.000 1
Tm1 0.250 0.250 0.250 1
Ir1 0.250 0.250 0.750 1

---

Entry 4:
# GGA-PBE LiTmIr, optimized geometry
# Excess energy over the best structure of this formula in the dataset ... 285.7 meV/atom
data_LiTmIr
_chemical_formula_sum 'Li4 Tm4 Ir4'
_cell_length_a 6.369
_cell_length_b 6.369
_cell_length_c 6.369
_cell_angle_alpha 90.00
_cell_angle_beta 90.00
_cell_angle_gamma 90.00
_symmetry_space_group_name_H-M 'F -4 3 m'
_symmetry_Int_Tables_number 216
_symmetry_space_group_name_Hall 'F -4 2 3'
loop_
_atom_site_label
_atom_site_fract_x
_atom_site_fract_y
_atom_site_fract_z
_atom_site_occupancy
Li1 0.000 0.000 0.000 1
Tm1 0.250 0.250 0.750 1
Ir1 0.000 0.000 0.500 1

---

Entry 5:
# GGA-PBE LiUIr, optimized geometry
# Excess energy over the best structure of this formula in the dataset ... 0.0 meV/atom
data_LiUIr
_chemical_formula_sum 'Li4 U4 Ir4'
_cell_length_a 6.322
_cell_length_b 6.322
_cell_length_c 6.322
_cell_angle_alpha 90.00
_cell_angle_beta 90.00
_cell_angle_gamma 90.00
_symmetry_space_group_name_H-M 'F -4 3 m'
_symmetry_Int_Tables_number 216
_symmetry_space_group_name_Hall 'F -4 2 3'
loop_
_atom_site_label
_atom_site_fract_x
_atom_site_fract_y
_atom_site_fract_z
_atom_site_occupancy
Li1 0.000 0.000 0.000 1
U1 0.000 0.000 0.500 1
Ir1 0.250 0.250 0.250 1

---

Entry 6:
# GGA-PBE LiUIr, optimized geometry
# Excess energy over the best structure of this formula in the dataset ... 488.9 meV/atom
data_LiUIr
_chemical_formula_sum 'Li4 U4 Ir4'
_cell_length_a 6.352
_cell_length_b 6.352
_cell_length_c 6.352
_cell_angle_alpha 90.00
_cell_angle_beta 90.00
_cell_angle_gamma 90.00
_symmetry_space_group_name_H-M 'F -4 3 m'
_symmetry_Int_Tables_number 216
_symmetry_space_group_name_Hall 'F -4 2 3'
loop_
_atom_site_label
_atom_site_fract_x
_atom_site_fract_y
_atom_site_fract_z
_atom_site_occupancy
Li1 0.000 0.000 0.000 1
U1 0.250 0.250 0.250 1
Ir1 0.000 0.000 0.500 1